A:
HgAs2Au (PBE, relaxed); V = 24.08 A^3/atom; crystal system = orthorhombic
1.0
-1.880 2.134 6.005
1.880 -2.134 6.005
1.880 2.134 -6.005
Hg As Au
1 2 1
Direct
0.000 0.000 0.000 Hg
0.213 0.713 0.500 As
0.362 0.362 0.000 As
0.728 0.228 0.500 Au

---

B:
HgAs2Au (PBE, relaxed); V = 22.31 A^3/atom; crystal system = monoclinic
1.0
4.194 -1.461 0.000
4.194 1.461 0.000
-1.115 0.000 7.283
Hg As Au
1 2 1
Direct
0.000 0.000 0.000 Hg
0.568 0.568 0.516 As
0.728 0.728 0.259 As
0.281 0.281 0.736 Au

---

C:
HgAs2Au (PBE, relaxed); V = 21.77 A^3/atom; crystal system = trigonal
1.0
1.610 0.930 9.697
-1.610 0.930 9.697
0.000 -1.859 9.697
Hg As Au
1 2 1
Direct
0.000 0.000 0.000 Hg
0.235 0.235 0.235 As
0.765 0.765 0.765 As
0.500 0.500 0.500 Au

---

D:
HgAs2Au (PBE, relaxed); V = 20.51 A^3/atom; crystal system = tetragonal
1.0
2.914 0.000 0.000
0.000 2.914 0.000
0.000 0.000 9.665
Hg As Au
1 2 1
Direct
0.000 0.000 0.000 Hg
0.000 0.000 0.523 As
0.500 0.500 0.274 As
0.500 0.500 0.741 Au

---

Energy above the most stable structure, in meV per atom: A 53; B 0; C 148; D 173

---

A:
HgAs2Au (PBE, relaxed); V = 20.96 A^3/atom; crystal system = orthorhombic
1.0
2.884 0.000 0.000
0.000 3.755 0.000
0.000 0.000 7.742
Hg As Au
1 2 1
Direct
0.000 0.000 0.000 Hg
0.000 0.000 0.507 As
0.500 0.500 0.300 As
0.500 0.500 0.741 Au

---

B:
HgAs2Au (PBE, relaxed); V = 21.42 A^3/atom; crystal system = tetragonal
1.0
-1.944 1.944 5.669
1.944 -1.944 5.669
1.944 1.944 -5.669
Hg As Au
1 2 1
Direct
0.000 0.000 0.000 Hg
0.250 0.750 0.500 As
0.750 0.250 0.500 As
0.500 0.500 0.000 Au

---

C:
HgAs2Au (PBE, relaxed); V = 20.83 A^3/atom; crystal system = orthorhombic
1.0
1.649 -2.471 0.000
1.649 2.471 0.000
0.000 0.000 10.220
Hg As Au
1 2 1
Direct
0.000 0.000 0.000 Hg
0.000 0.000 0.498 As
0.500 0.500 0.291 As
0.500 0.500 0.742 Au

---

D:
HgAs2Au (PBE, relaxed); V = 20.41 A^3/atom; crystal system = tetragonal
1.0
4.123 0.000 0.000
0.000 4.123 0.000
0.000 0.000 4.802
Hg As Au
1 2 1
Direct
0.000 0.000 0.000 Hg
0.000 0.500 0.500 As
0.500 0.000 0.500 As
0.500 0.500 0.000 Au

---

Energy above the most stable structure, in meV per atom: A 0; B 48; C 20; D 68

---

A:
HgAs2Au (PBE, relaxed); V = 20.98 A^3/atom; crystal system = tetragonal
1.0
3.003 0.000 0.000
0.000 3.003 0.000
0.000 0.000 9.304
Hg As Au
1 2 1
Direct
0.000 0.000 0.000 Hg
0.500 0.500 0.285 As
0.500 0.500 0.715 As
0.000 0.000 0.500 Au

---

B:
HgAs2Au (PBE, relaxed); V = 21.99 A^3/atom; crystal system = trigonal
1.0
1.855 1.071 7.378
-1.855 1.071 7.378
0.000 -2.142 7.378
Hg As Au
1 2 1
Direct
0.000 0.000 0.000 Hg
0.498 0.498 0.498 As
0.765 0.765 0.765 As
0.245 0.245 0.245 Au

---

C:
HgAs2Au (PBE, relaxed); V = 21.00 A^3/atom; crystal system = orthorhombic
1.0
-1.423 2.744 5.379
1.423 -2.744 5.379
1.423 2.744 -5.379
Hg As Au
1 2 1
Direct
0.000 0.000 0.000 Hg
0.277 0.777 0.500 As
0.723 0.223 0.500 As
0.500 0.500 0.000 Au

---

Energy above the most stable structure, in meV per atom: A 170; B 0; C 129

---

A:
HgAs2Au (PBE, relaxed); V = 23.77 A^3/atom; crystal system = monoclinic
1.0
4.564 0.000 0.000
0.000 3.923 0.000
-1.358 0.000 5.312
Hg As Au
1 2 1
Direct
0.000 0.000 0.000 Hg
0.233 0.500 0.668 As
0.767 0.500 0.332 As
0.500 0.000 0.500 Au

---

B:
HgAs2Au (PBE, relaxed); V = 20.86 A^3/atom; crystal system = orthorhombic
1.0
2.743 -5.203 0.000
2.743 5.203 0.000
0.000 0.000 2.923
Hg As Au
1 2 1
Direct
0.000 0.000 0.000 Hg
0.000 0.500 0.500 As
0.500 0.000 0.500 As
0.500 0.500 0.000 Au

---

Energy above the most stable structure, in meV per atom: A 0; B 326

---

A:
HgAs2Au (PBE, relaxed); V = 26.79 A^3/atom; crystal system = tetragonal
1.0
-2.819 2.819 6.742
2.819 -2.819 6.742
2.819 2.819 -6.742
Hg As Au
2 4 2
Direct
0.000 0.000 0.000 Hg
0.750 0.250 0.500 Hg
0.157 0.625 0.032 As
0.375 0.407 0.532 As
0.593 0.125 0.968 As
0.875 0.843 0.468 As
0.250 0.750 0.500 Au
0.500 0.500 0.000 Au

---

B:
HgAs2Au (PBE, relaxed); V = 23.26 A^3/atom; crystal system = monoclinic
1.0
5.735 -1.838 0.000
5.735 1.838 0.000
-1.202 0.000 4.411
Hg As Au
1 2 1
Direct
0.000 0.000 0.000 Hg
0.268 0.268 0.334 As
0.732 0.732 0.666 As
0.500 0.500 0.500 Au

---

C:
HgAs2Au (PBE, relaxed); V = 24.29 A^3/atom; crystal system = orthorhombic
1.0
2.924 0.000 0.000
0.000 4.357 0.000
0.000 0.000 7.628
Hg As Au
1 2 1
Direct
0.000 0.000 0.000 Hg
0.500 0.500 0.337 As
0.500 0.500 0.663 As
0.000 0.000 0.500 Au

---

D:
HgAs2Au (PBE, relaxed); V = 20.40 A^3/atom; crystal system = tetragonal
1.0
-2.249 2.249 4.033
2.249 -2.249 4.033
2.249 2.249 -4.033
Hg As Au
1 2 1
Direct
0.000 0.000 0.000 Hg
0.250 0.750 0.500 As
0.500 0.500 0.000 As
0.750 0.250 0.500 Au

---

Energy above the most stable structure, in meV per atom: A 260; B 0; C 235; D 353

---

A:
HgAs2Au2 (PBE, relaxed); V = 20.42 A^3/atom; crystal system = tetragonal
1.0
7.512 0.000 0.000
0.000 7.512 0.000
0.000 0.000 3.618
Hg As Au
2 4 4
Direct
0.000 0.000 0.000 Hg
0.500 0.500 0.000 Hg
0.164 0.336 0.500 As
0.336 0.836 0.500 As
0.664 0.164 0.500 As
0.836 0.664 0.500 As
0.136 0.636 0.000 Au
0.364 0.136 0.000 Au
0.636 0.864 0.000 Au
0.864 0.364 0.000 Au

---

B:
HgAs2Au2 (PBE, relaxed); V = 21.07 A^3/atom; crystal system = tetragonal
1.0
7.939 0.000 0.000
0.000 7.939 0.000
0.000 0.000 3.342
Hg As Au
2 4 4
Direct
0.000 0.000 0.000 Hg
0.500 0.500 0.000 Hg
0.190 0.310 0.000 As
0.310 0.810 0.000 As
0.690 0.190 0.000 As
0.810 0.690 0.000 As
0.125 0.625 0.500 Au
0.375 0.125 0.500 Au
0.625 0.875 0.500 Au
0.875 0.375 0.500 Au

---

Energy above the most stable structure, in meV per atom: A 24; B 0

---

A:
AsAu2I6 (PBE, relaxed); V = 47.56 A^3/atom; crystal system = monoclinic
1.0
7.335 -7.281 0.000
7.335 7.281 0.000
-2.641 0.000 8.015
As Au I
2 4 12
Direct
0.104 0.896 0.750 As
0.896 0.104 0.250 As
0.241 0.311 0.752 Au
0.311 0.241 0.252 Au
0.689 0.759 0.748 Au
0.759 0.689 0.248 Au
0.002 0.201 0.617 I
0.092 0.661 0.812 I
0.201 0.002 0.117 I
0.339 0.908 0.688 I
0.381 0.403 0.547 I
0.403 0.381 0.047 I
0.597 0.619 0.953 I
0.619 0.597 0.453 I
0.661 0.092 0.312 I
0.799 0.998 0.883 I
0.908 0.339 0.188 I
0.998 0.799 0.383 I

---

B:
AsAu2I6 (PBE, relaxed); V = 42.07 A^3/atom; crystal system = monoclinic
1.0
7.942 -6.467 0.000
7.942 6.467 0.000
-0.280 0.000 7.372
As Au I
2 4 12
Direct
0.082 0.918 0.750 As
0.918 0.082 0.250 As
0.325 0.469 0.742 Au
0.469 0.325 0.242 Au
0.531 0.675 0.758 Au
0.675 0.531 0.258 Au
0.035 0.175 0.578 I
0.124 0.649 0.890 I
0.175 0.035 0.078 I
0.268 0.494 0.379 I
0.351 0.876 0.610 I
0.494 0.268 0.879 I
0.506 0.732 0.121 I
0.649 0.124 0.390 I
0.732 0.506 0.621 I
0.825 0.965 0.922 I
0.876 0.351 0.110 I
0.965 0.825 0.422 I

---

Energy above the most stable structure, in meV per atom: A 10; B 0

---

A:
As2AuI (PBE, relaxed); V = 22.25 A^3/atom; crystal system = cubic
1.0
0.000 3.544 3.544
3.544 0.000 3.544
3.544 3.544 0.000
As Au I
2 1 1
Direct
0.250 0.250 0.250 As
0.750 0.750 0.750 As
0.000 0.000 0.000 Au
0.500 0.500 0.500 I

---

B:
As2AuI (PBE, relaxed); V = 27.88 A^3/atom; crystal system = tetragonal
1.0
-3.582 3.582 4.345
3.582 -3.582 4.345
3.582 3.582 -4.345
As Au I
4 2 2
Direct
0.069 0.625 0.944 As
0.375 0.319 0.444 As
0.681 0.125 0.056 As
0.875 0.931 0.556 As
0.000 0.000 0.000 Au
0.750 0.250 0.500 Au
0.250 0.750 0.500 I
0.500 0.500 0.000 I

---

Energy above the most stable structure, in meV per atom: A 298; B 0

---

A:
AsAuI2 (PBE, relaxed); V = 25.97 A^3/atom; crystal system = cubic
1.0
0.000 3.731 3.731
3.731 0.000 3.731
3.731 3.731 0.000
As Au I
1 1 2
Direct
0.000 0.000 0.000 As
0.500 0.500 0.500 Au
0.250 0.250 0.250 I
0.750 0.750 0.750 I

---

B:
AsAuI2 (PBE, relaxed); V = 34.36 A^3/atom; crystal system = tetragonal
1.0
-2.856 2.856 8.423
2.856 -2.856 8.423
2.856 2.856 -8.423
As Au I
2 2 4
Direct
0.000 0.000 0.000 As
0.750 0.250 0.500 As
0.250 0.750 0.500 Au
0.500 0.500 0.000 Au
0.119 0.625 0.994 I
0.375 0.369 0.494 I
0.631 0.125 0.006 I
0.875 0.881 0.506 I

---

Energy above the most stable structure, in meV per atom: A 188; B 0